(1)
Dy3PuAg3S8 PBE relaxed; crystal system = monoclinic; E_tot = -5.941 eV/atom; space-group type = No. 12
1.0
6.5279 -4.0207 0.0000
6.5279 4.0207 0.0000
-4.0815 0.0000 6.5165
Dy Pu Ag S
3 1 3 8
direct
0.0000 0.0000 0.0000
0.0000 0.5000 0.5000
0.5000 0.0000 0.5000
0.5000 0.5000 0.0000
0.0000 0.5000 0.0000
0.5000 0.0000 0.0000
0.5000 0.5000 0.5000
0.2477 0.2477 0.2537
0.2504 0.7437 0.7577
0.2564 0.2564 0.7491
0.2563 0.7496 0.2423
0.7437 0.2504 0.7577
0.7436 0.7436 0.2509
0.7496 0.2563 0.2423
0.7523 0.7523 0.7463

***

(2)
DyPuAg2S4 PBE relaxed; crystal system = tetragonal; E_tot = -6.296 eV/atom; space-group type = No. 119
1.0
5.4230 0.0000 0.0000
0.0000 5.4230 0.0000
0.0000 0.0000 12.2368
Dy Pu Ag S
2 2 4 8
direct
0.0000 0.0000 0.0000
0.5000 0.5000 0.5000
0.0000 0.5000 0.2500
0.5000 0.0000 0.7500
0.0000 0.0000 0.5000
0.0000 0.5000 0.7500
0.5000 0.0000 0.2500
0.5000 0.5000 0.0000
0.0000 0.0000 0.2244
0.0000 0.0000 0.7756
0.0000 0.5000 0.0208
0.0000 0.5000 0.4792
0.5000 0.0000 0.5208
0.5000 0.0000 0.9792
0.5000 0.5000 0.2756
0.5000 0.5000 0.7244

***

(3)
DyPuAgS4 PBE relaxed; crystal system = orthorhombic; E_tot = -6.815 eV/atom; space-group type = No. 74
1.0
-3.9465 4.0296 5.5932
3.9465 -4.0296 5.5932
3.9465 4.0296 -5.5932
Dy Pu Ag S
2 2 2 8
direct
0.5000 0.0000 0.0000
0.5000 0.5000 0.5000
0.0000 0.0000 0.0000
0.5000 0.0000 0.5000
0.1200 0.3700 0.7500
0.8800 0.6300 0.2500
0.2547 0.2337 0.4790
0.2550 0.2396 0.0154
0.2547 0.7757 0.0210
0.2759 0.7604 0.5154
0.7241 0.2396 0.4846
0.7453 0.2243 0.9790
0.7450 0.7604 0.9846
0.7453 0.7663 0.5210

***

| no. | E_form (uncorrected) (eV/atom) | magnetic moment (μB/cell) |
| --- | --- | --- |
| 1 | -1.29 | 4.0 |
| 2 | -1.15 | 10.0 |
| 3 | -1.34 | 8.0 |